This record from Alexandria via LeMat-Bulk describes a geometry-optimized Rb2HoAuBr6 structure. The functional is GGA-PBE.

Cell lengths 7.8891, 8.3810, 9.0602 Å; angles 54.94, 54.61, 72.89 degrees
With the nearest neighbours (Å) after each atom.
Sites, in units of the cell vectors:
Br 0.1950 0.3126 0.8800  1 Ho 2.75
Br 0.8050 0.6874 0.1201  1 Ho 2.75
Br 0.1738 0.1329 0.5772  1 Ho 2.78
Br 0.8262 0.8671 0.4228  1 Ho 2.78
Br 0.6278 0.1953 0.0016  1 Au 2.45
Br 0.3722 0.8047 0.9984  1 Au 2.45
Rb 0.7266 0.2261 0.5386  6 Br 3.40-3.67
Rb 0.2734 0.7739 0.4614  6 Br 3.40-3.67
Ho 0.0000 0.0000 0.0000  6 Br 2.75-2.91
Au 0.5000 0.5000 0.0000  2 Br 2.45



This record from Alexandria via LeMat-Bulk describes a geometry-optimized Au2IBr3 structure. The functional is GGA-PBE.

Cell lengths 4.0518, 8.7976, 13.2395 Å; angles 107.30, 98.80, 90.00 degrees
With the nearest neighbours (Å) after each atom.
Sites, in units of the cell vectors:
Br 0.2876 0.3926 0.5752  1 Au 2.52
Br 0.0722 0.8426 0.1443  1 Au 2.42
Br 0.7124 0.6074 0.4248  1 Au 2.52
Br 0.9278 0.1574 0.8557  1 Au 2.42
Br 0.4104 0.7402 0.8208  3 Au 2.63-2.68
Br 0.5896 0.2598 0.1792  3 Au 2.63-2.68
Au 0.9772 0.8144 0.9544  3 Br 2.42-2.63
Au 0.3041 0.6900 0.6082  2 Br 2.52-2.68, 1 I 2.61
Au 0.6959 0.3100 0.3918  2 Br 2.52-2.68, 1 I 2.61
Au 0.0228 0.1856 0.0456  3 Br 2.42-2.63
I 0.3076 0.9901 0.6152  1 Au 2.61
I 0.6924 0.0099 0.3848  1 Au 2.61



This record from Alexandria via LeMat-Bulk describes a geometry-optimized AuI5Br2 structure. The functional is GGA-PBE.

Cell lengths 11.0680, 5.7241, 8.3702 Å; angles 93.33, 131.38, 90.00 degrees
With the nearest neighbours (Å) after each atom.
Sites, in units of the cell vectors:
I 0.1421 0.6304 0.9199  2 I 2.92-2.93
I 0.1936 0.1391 0.0167  1 Au 2.75, 2 I 2.92-2.93
I 0.8231 0.1391 0.0167  1 Au 2.75, 2 I 2.92-2.93
I 0.7779 0.6304 0.9200  2 I 2.92-2.93
I 0.6529 0.7260 0.3057  2 Br 2.89-2.90
Au 0.1538 0.1427 0.3076  1 Br 2.43
Br 0.3469 0.1364 0.6937  1 Au 2.43
Br 0.6868 0.2329 0.3737  2 I 2.89-2.90



This record from Alexandria via LeMat-Bulk describes a geometry-optimized AuI2Br6 structure. The functional is GGA-PBE.

Cell lengths 7.2113, 11.0021, 11.0021 Å; angles 71.10, 69.82, 69.82 degrees
With the nearest neighbours (Å) after each atom.
Sites, in units of the cell vectors:
Br 0.8015 0.9662 0.2908  1 Au 2.48
Br 0.3757 0.9326 0.2382  1 Au 2.48
Br 0.6775 0.2749 0.4565  1 I 2.57
Br 0.6243 0.0674 0.7618  1 Au 2.48
Br 0.3225 0.7251 0.5435  1 I 2.57
Br 0.8757 0.2382 0.9326  1 Au 2.48
Br 0.1775 0.4565 0.2749  1 I 2.57
Br 0.3015 0.2908 0.9662  1 Au 2.48
Br 0.1985 0.0338 0.7092  1 Au 2.48
Br 0.8225 0.5435 0.7251  1 I 2.57
Br 0.1243 0.7618 0.0674  1 Au 2.48
Br 0.6985 0.7092 0.0338  1 Au 2.48
Au 0.2500 0.1559 0.8441  4 Br 2.48
Au 0.7500 0.8441 0.1559  4 Br 2.48
I 0.1834 0.2542 0.4747  1 Br 2.57
I 0.6834 0.4747 0.2542  1 Br 2.57
I 0.3166 0.5253 0.7458  1 Br 2.57
I 0.8166 0.7458 0.5253  1 Br 2.57



This record from Alexandria via LeMat-Bulk describes a geometry-optimized AuI4Br structure. The functional is GGA-PBE.

Cell lengths 8.3005, 7.9954, 9.8327 Å; angles 113.99, 113.75, 90.00 degrees
With the nearest neighbours (Å) after each atom.
Sites, in units of the cell vectors:
I 0.7118 0.2556 0.5112  1 Au 2.85
I 0.2882 0.7444 0.4888  1 Au 2.85
I 0.5425 0.3403 0.1789  1 Au 2.82, 1 I 2.97
I 0.4575 0.6597 0.8211  1 Au 2.82, 1 I 2.97
I 0.4575 0.1614 0.8211  1 Au 2.82, 1 I 2.97
I 0.0000 0.2945 0.0000  2 Au 2.82, 2 Br 3.03
I 0.5425 0.8386 0.1789  1 Au 2.82, 1 I 2.97
I 0.0000 0.7055 0.0000  2 Au 2.82, 2 Br 3.03
Br 0.1693 0.1147 0.2293  2 I 3.03
Br 0.8307 0.8853 0.7707  2 I 3.03
Au 0.6993 0.4116 0.8233  5 I 2.82-2.85
Au 0.3007 0.5884 0.1767  5 I 2.82-2.85



This record from Alexandria via LeMat-Bulk describes a geometry-optimized Au2IBr structure. The functional is GGA-PBE.

Cell lengths 5.2737, 7.7336, 32.7080 Å; angles 154.48, 90.00, 90.00 degrees
With the nearest neighbours (Å) after each atom.
Sites, in units of the cell vectors:
Br 0.0805 0.2891 0.6318  2 Au 2.49-2.50
Br 0.0805 0.7109 0.8682  2 Au 2.49-2.50
Br 0.9195 0.7109 0.3682  2 Au 2.49-2.50
Br 0.9195 0.2891 0.1318  2 Au 2.49-2.50
Au 0.8169 0.5916 0.6409  1 Br 2.50, 1 I 2.60
Au 0.8001 0.2791 0.0094  1 Br 2.49, 1 I 2.59
Au 0.8169 0.4084 0.8591  1 Br 2.50, 1 I 2.60
Au 0.1831 0.4084 0.3591  1 Br 2.50, 1 I 2.60
Au 0.1999 0.7209 0.9906  1 Br 2.49, 1 I 2.59
Au 0.1831 0.5916 0.1409  1 Br 2.50, 1 I 2.60
Au 0.1999 0.2791 0.5094  1 Br 2.49, 1 I 2.59
Au 0.8001 0.7209 0.4906  1 Br 2.49, 1 I 2.59
I 0.4817 0.1360 0.3578  2 Au 2.59-2.60
I 0.4817 0.8640 0.1422  2 Au 2.59-2.60
I 0.5183 0.1360 0.8578  2 Au 2.59-2.60
I 0.5183 0.8640 0.6422  2 Au 2.59-2.60



This record from Alexandria via LeMat-Bulk describes a geometry-optimized Au2IBr structure. The functional is GGA-PBE.

Cell lengths 6.3465, 6.3465, 7.9045 Å; angles 66.33, 66.33, 90.00 degrees
With the nearest neighbours (Å) after each atom.
Sites, in units of the cell vectors:
Au 0.6265 0.1250 0.2500  2 I 2.77, 2 Br 2.78
Au 0.1235 0.6250 0.2500  2 I 2.77, 2 Br 2.78
Au 0.3750 0.3735 0.7500  2 I 2.77, 2 Br 2.78
Au 0.8750 0.8765 0.7500  2 I 2.77, 2 Br 2.78
Br 0.2500 0.7500 0.5000  4 Au 2.78
Br 0.5000 0.5000 0.0000  4 Au 2.78
I 0.0000 0.0000 0.0000  4 Au 2.77
I 0.7500 0.2500 0.5000  4 Au 2.77



This record from Alexandria via LeMat-Bulk describes a geometry-optimized Au3I3Br2 structure. The functional is GGA-PBE.

Cell lengths 3.9869, 10.5379, 17.8137 Å; angles 90.07, 90.98, 100.88 degrees
With the nearest neighbours (Å) after each atom.
Sites, in units of the cell vectors:
Au 0.3799 0.7776 0.6385  2 Br 2.58, 1 I 2.61
Au 0.3400 0.6799 0.2517  4 I 2.74
Au 0.3985 0.7786 0.8653  2 Br 2.58, 1 I 2.61
Au 0.6201 0.2224 0.3615  2 Br 2.58, 1 I 2.61
Au 0.6600 0.3201 0.7483  4 I 2.74
Au 0.6015 0.2214 0.1347  2 Br 2.58, 1 I 2.61
Br 0.8258 0.6800 0.5660  2 Au 2.58
Br 0.1445 0.3187 0.0626  2 Au 2.58
Br 0.8555 0.6813 0.9374  2 Au 2.58
Br 0.1742 0.3200 0.4340  2 Au 2.58
I 0.5309 0.0626 0.2479  2 Au 2.61
I 0.8480 0.6803 0.3569  2 Au 2.74
I 0.1520 0.3197 0.6431  2 Au 2.74
I 0.4691 0.9374 0.7521  2 Au 2.61
I 0.8304 0.6764 0.1464  2 Au 2.74
I 0.1696 0.3236 0.8536  2 Au 2.74



This record from Alexandria via LeMat-Bulk describes a geometry-optimized AuIBr4 structure. The functional is GGA-PBE.

Cell lengths 9.4034, 9.4034, 7.7343 Å; angles 90.00, 90.00, 49.02 degrees
With the nearest neighbours (Å) after each atom.
Sites, in units of the cell vectors:
Br 0.3692 0.8334 0.9780  1 Au 2.53, 1 I 2.73
Br 0.1666 0.6308 0.5220  1 Au 2.53, 1 I 2.73
Br 0.4150 0.9746 0.4870  1 Au 2.45
Br 0.6308 0.1666 0.4780  1 Au 2.53, 1 I 2.73
Br 0.8334 0.3692 0.0220  1 Au 2.53, 1 I 2.73
Br 0.5850 0.0254 0.9870  1 Au 2.45
Br 0.0254 0.5850 0.0130  1 Au 2.45
Br 0.9746 0.4150 0.5130  1 Au 2.45
Au 0.2964 0.2964 0.5000  4 Br 2.45-2.53
Au 0.7036 0.7036 0.0000  4 Br 2.45-2.53
I 0.2911 0.7089 0.2500  2 Br 2.73
I 0.7089 0.2911 0.7500  2 Br 2.73



This record from Alexandria via LeMat-Bulk describes a geometry-optimized Au2I4Br structure. The functional is GGA-PBE.

Cell lengths 12.3318, 12.0509, 11.3016 Å; angles 139.73, 137.83, 40.65 degrees
With the nearest neighbours (Å) after each atom.
Sites, in units of the cell vectors:
I 0.1107 0.7112 0.1985  1 Au 2.74, 1 I 2.94
I 0.0764 0.3802 0.0014  1 Au 2.58
I 0.2467 0.4822 0.7503  1 Au 2.69
I 0.6566 0.7554 0.3093  2 Au 2.57-2.60
I 0.6641 0.2385 0.0864  2 Au 2.65-2.69
I 0.0774 0.0022 0.7874  1 Au 2.57
I 0.4464 0.3736 0.5894  1 Br 2.64
I 0.5936 0.8021 0.6969  2 Au 2.69-2.73
Au 0.8646 0.5713 0.1554  2 I 2.57-2.58
Au 0.3664 0.8778 0.0458  2 I 2.57-2.60
Au 0.4062 0.1467 0.7228  1 Br 2.51, 3 I 2.69
Au 0.4747 0.5460 0.3143  3 I 2.65-2.74
Br 0.6115 0.2910 0.4491  1 I 2.64
Br 0.1549 0.0717 0.3931  1 Au 2.51



This record from Alexandria via LeMat-Bulk describes a geometry-optimized Au5I12Br3 structure. The functional is GGA-PBE.

Cell lengths 16.2545, 16.2545, 16.2545 Å; angles 109.47, 109.47, 109.47 degrees
With the nearest neighbours (Å) after each atom.
Sites, in units of the cell vectors:
Au 0.2500 0.3750 0.6250  4 I 2.76
Au 0.2500 0.8750 0.1250  4 I 2.76
Au 0.3750 0.2500 0.1250  4 I 2.76
Au 0.5000 0.5000 0.5000  6 I 2.87
Au 0.1250 0.7500 0.3750  4 I 2.76
Au 0.6250 0.8750 0.2500  4 I 2.76
Au 0.0000 0.0000 0.5000  6 I 2.87
Au 0.7500 0.1250 0.8750  4 I 2.76
Au 0.1250 0.3750 0.2500  4 I 2.76
Au 0.0000 0.5000 0.5000  6 I 2.87
Au 0.5000 0.0000 0.0000  6 I 2.87
Au 0.5000 0.5000 0.0000  6 I 2.87
Au 0.6250 0.7500 0.8750  4 I 2.76
Au 0.7500 0.6250 0.3750  4 I 2.76
Au 0.3750 0.1250 0.7500  4 I 2.76
Au 0.5000 0.0000 0.5000  6 I 2.87
Au 0.8750 0.2500 0.6250  4 I 2.76
Au 0.0000 0.5000 0.0000  6 I 2.87
Au 0.8750 0.6250 0.7500  4 I 2.76
Au 0.0000 0.0000 0.0000  6 I 2.87
I 0.4686 0.1339 0.6369  2 Au 2.76-2.87
I 0.3661 0.0030 0.8347  2 Au 2.76-2.87
I 0.8317 0.8631 0.9970  2 Au 2.76-2.87
I 0.5030 0.6683 0.1369  2 Au 2.76-2.87
I 0.1683 0.1369 0.0030  2 Au 2.76-2.87
I 0.8347 0.3317 0.9686  2 Au 2.76-2.87
I 0.4970 0.3317 0.8631  2 Au 2.76-2.87
I 0.1339 0.6653 0.4970  2 Au 2.76-2.87
I 0.1653 0.6683 0.0314  2 Au 2.76-2.87
I 0.1369 0.1683 0.5030  2 Au 2.76-2.87
I 0.3661 0.3631 0.0314  2 Au 2.76-2.87
I 0.4970 0.1653 0.1339  2 Au 2.76-2.87
I 0.6683 0.1653 0.5314  2 Au 2.76-2.87
I 0.0030 0.6369 0.1683  2 Au 2.76-2.87
I 0.8631 0.0314 0.8661  2 Au 2.76-2.87
I 0.8661 0.5314 0.8631  2 Au 2.76-2.87
I 0.9970 0.6339 0.6653  2 Au 2.76-2.87
I 0.9686 0.1369 0.6339  2 Au 2.76-2.87
I 0.6369 0.6339 0.4686  2 Au 2.76-2.87
I 0.0030 0.3661 0.3347  2 Au 2.76-2.87
I 0.1369 0.9686 0.1339  2 Au 2.76-2.87
I 0.8347 0.5030 0.3661  2 Au 2.76-2.87
I 0.0314 0.8631 0.3661  2 Au 2.76-2.87
I 0.5314 0.6653 0.6683  2 Au 2.76-2.87
I 0.3347 0.8661 0.0030  2 Au 2.76-2.87
I 0.1339 0.4686 0.1369  2 Au 2.76-2.87
I 0.6339 0.9970 0.1653  2 Au 2.76-2.87
I 0.6683 0.5030 0.6369  2 Au 2.76-2.87
I 0.5030 0.8347 0.8661  2 Au 2.76-2.87
I 0.3347 0.4686 0.8317  2 Au 2.76-2.87
I 0.9686 0.8317 0.8347  2 Au 2.76-2.87
I 0.3631 0.9970 0.3317  2 Au 2.76-2.87
I 0.6653 0.5314 0.1683  2 Au 2.76-2.87
I 0.8317 0.9686 0.3347  2 Au 2.76-2.87
I 0.1683 0.0314 0.6653  2 Au 2.76-2.87
I 0.5314 0.8661 0.3631  2 Au 2.76-2.87
I 0.8631 0.8317 0.4970  2 Au 2.76-2.87
I 0.1653 0.4970 0.6339  2 Au 2.76-2.87
I 0.3317 0.4970 0.3631  2 Au 2.76-2.87
I 0.6339 0.6369 0.9686  2 Au 2.76-2.87
I 0.4686 0.3347 0.3317  2 Au 2.76-2.87
I 0.8661 0.3347 0.5030  2 Au 2.76-2.87
I 0.9970 0.3631 0.8317  2 Au 2.76-2.87
I 0.0314 0.1683 0.1653  2 Au 2.76-2.87
I 0.3317 0.8347 0.4686  2 Au 2.76-2.87
I 0.3631 0.3661 0.5314  2 Au 2.76-2.87
I 0.6653 0.1339 0.9970  2 Au 2.76-2.87
I 0.6369 0.0030 0.6683  2 Au 2.76-2.87
Br 0.1250 0.2500 0.8750  4 I 3.26
Br 0.6250 0.2500 0.3750  4 I 3.26
Br 0.7500 0.8750 0.6250  4 I 3.26
Br 0.3750 0.7500 0.6250  4 I 3.26
Br 0.8750 0.7500 0.1250  4 I 3.26
Br 0.2500 0.6250 0.8750  4 I 3.26
Br 0.8750 0.1250 0.2500  4 I 3.26
Br 0.7500 0.3750 0.1250  4 I 3.26
Br 0.1250 0.8750 0.7500  4 I 3.26
Br 0.2500 0.1250 0.3750  4 I 3.26
Br 0.3750 0.6250 0.2500  4 I 3.26
Br 0.6250 0.3750 0.7500  4 I 3.26



This record from Alexandria via LeMat-Bulk describes a geometry-optimized Au2IBr6 structure. The functional is GGA-PBE.

Cell lengths 10.9722, 9.4369, 9.4369 Å; angles 96.09, 110.95, 110.95 degrees
With the nearest neighbours (Å) after each atom.
Sites, in units of the cell vectors:
Br 0.2018 0.8840 0.3699  1 Au 2.53
Br 0.5144 0.6894 0.5228  2 Au 2.52-2.62
Br 0.7982 0.1160 0.6301  1 Au 2.53
Br 0.2982 0.6301 0.1160  1 Au 2.53
Br 0.7535 0.7595 0.9597  1 Au 2.45
Br 0.0144 0.5228 0.6894  2 Au 2.52-2.62
Br 0.4856 0.3106 0.4772  2 Au 2.52-2.62
Br 0.2535 0.9597 0.7595  1 Au 2.45
Br 0.7018 0.3699 0.8840  1 Au 2.53
Br 0.9856 0.4772 0.3106  2 Au 2.52-2.62
Br 0.2465 0.2405 0.0403  1 Au 2.45
Br 0.7465 0.0403 0.2405  1 Au 2.45
Au 0.8812 0.2809 0.4591  4 Br 2.45-2.62
Au 0.1188 0.7191 0.5409  4 Br 2.45-2.62
Au 0.6188 0.5409 0.7191  4 Br 2.45-2.62
Au 0.3812 0.4591 0.2809  4 Br 2.45-2.62
I 0.2500 0.9076 0.0924  2 Br 2.87
I 0.7500 0.0924 0.9076  2 Br 2.87



Which total DFT energy (no corrections) belongs to each record? In order, -3.44; -2.12; -1.72; -1.88; -1.72; -2.53; -2.35; -2.24; -1.99; -2.09; -1.83; -2.08 eV/atom.
Which energy relative to the elements, uncorrected belongs to each record? In order, -14.53; 0.42; 0.58; -0.47; 0.82; -0.34; 0.36; -0.12; -0.45; -0.18; 3.48; -0.55 eV per formula unit.